Record 1
The following is a DFT calculation (PBE-GGA) of a relaxed AcBeAu crystal.

- excess energy over the best structure of this formula in the dataset (meV/atom) = 168.7
- formation enthalpy at 0 K (eV/atom) = -0.22

abc: 4.037 4.037 10.351
angles: 90.00 90.00 120.00
Positions (direct):
Be (0.667, 0.333, 0.234)
Be (0.333, 0.667, 0.734)
Au (0.000, 0.000, 0.684)
Au (0.000, 0.000, 0.184)
Ac (0.667, 0.333, 0.933)
Ac (0.333, 0.667, 0.433)

---

Record 2
The following is a DFT calculation (PBE-GGA) of a relaxed NpRu2O8 crystal.

- energy relative to the elements, uncorrected (eV per atom) = -1.344

abc: 4.017 6.012 6.012
angles: 69.69 90.47 90.47
Site moments in Bohr magnetons follow the coordinates.
Positions (direct):
Np (0.000, 0.000, 0.000)  -0.24
Ru (0.245, 0.619, 0.619)  0.56
Ru (0.755, 0.381, 0.381)  0.56
O (0.235, 0.882, 0.312)  0.04
O (0.235, 0.312, 0.882)  0.04
O (0.765, 0.118, 0.688)  0.04
O (0.256, 0.413, 0.413)  0.05
O (0.765, 0.688, 0.118)  0.04
O (0.249, 0.804, 0.804)  0.16
O (0.751, 0.196, 0.196)  0.16
O (0.744, 0.587, 0.587)  0.05

---

Record 3
The following is a DFT calculation (PBE-GGA) of a relaxed YTm3Ga3 crystal.

- formation enthalpy at 0 K (eV/atom) = -0.44

abc: 4.751 9.023 9.023
angles: 120.00 90.00 90.00
Positions (direct):
Y (0.250, 0.667, 0.333)
Y (0.750, 0.333, 0.667)
Tm (0.750, 0.762, 0.748)
Tm (0.750, 0.252, 0.014)
Tm (0.750, 0.986, 0.238)
Tm (0.250, 0.238, 0.252)
Tm (0.250, 0.748, 0.986)
Tm (0.250, 0.014, 0.762)
Ga (0.250, 0.551, 0.609)
Ga (0.250, 0.391, 0.941)
Ga (0.250, 0.059, 0.449)
Ga (0.750, 0.449, 0.391)
Ga (0.750, 0.609, 0.059)
Ga (0.750, 0.941, 0.551)

---

Number 1: total magnetic moment 0.000 μB per formula unit, theoretical density 9.84 g/cm³, V 24.349 Å³/atom. Number 2: total magnetic moment 1.633 μB per formula unit, theoretical density 6.92 g/cm³, V 12.379 Å³/atom. Number 3: total magnetic moment 0.000 μB per formula unit, theoretical density 7.98 g/cm³, V 23.930 Å³/atom.